The following is a GGA-PBE calculation of an optimized crystal structure of NaGdYSn, from Alexandria via LeMat-Bulk.

Calculated values
- calculated density (Mg/m³) = 5.87
- calculated formation energy (eV per atom) = -0.2982
- space group = F-43m (216)

abc: 5.373 5.373 5.373
angles: 60.00 60.00 60.00
Element x y z (fractional)
Gd 0.000 0.000 0.000
Sn 0.750 0.750 0.750
Y 0.500 0.500 0.500
Na 0.250 0.250 0.250

***

The following is a GGA-PBE calculation of an optimized crystal structure of Sm3Ho, from Alexandria via LeMat-Bulk.

Calculated values
- calculated density (Mg/m³) = 7.74
- calculated formation energy (eV per atom) = 0.0148
- ΔE to the lowest computed polymorph (eV per formula unit) = 0.000
- space group = I4/mmm (139)

abc: 6.244 6.244 6.244
angles: 131.89 131.89 70.40
Element x y z (fractional)
Ho 0.000 0.000 0.000
Sm 0.250 0.750 0.500
Sm 0.750 0.250 0.500
Sm 0.500 0.500 0.000

***

The following is a GGA-PBE calculation of an optimized crystal structure of NaPrMgSn, from Alexandria via LeMat-Bulk.

Calculated values
- calculated density (Mg/m³) = 4.57
- calculated formation energy (eV per atom) = -0.2718
- space group = F-43m (216)

abc: 5.401 5.401 5.401
angles: 60.00 60.00 60.00
Element x y z (fractional)
Pr 0.000 0.000 0.000
Na 0.500 0.500 0.500
Sn 0.250 0.250 0.250
Mg 0.750 0.750 0.750

***

The following is a GGA-PBE calculation of an optimized crystal structure of PIrBr2, from Alexandria via LeMat-Bulk.

Calculated values
- ΔE_f (raw) (eV/f.u.) = -0.18
- calculated density (Mg/m³) = 5.93
- ΔE to the lowest computed polymorph (eV per formula unit) = 1.560
- space group = Imm2 (44)

abc: 9.129 9.129 9.129
angles: 157.13 158.73 31.43
Element x y z (fractional)
Ir 0.536 0.536 0.000
P 0.466 0.966 0.500
Br 0.857 0.857 0.000
Br 0.641 0.141 0.500

***

The following is a GGA-PBE calculation of an optimized crystal structure of LaCeDyPu, from Alexandria via LeMat-Bulk.

Calculated values
- calculated density (Mg/m³) = 9.04
- calculated formation energy (eV per atom) = 0.2747
- space group = F-43m (216)

abc: 5.627 5.627 5.627
angles: 60.00 60.00 60.00
Element x y z (fractional)
Dy 0.750 0.750 0.750
Ce 0.500 0.500 0.500
Pu 0.000 0.000 0.000
La 0.250 0.250 0.250

***

The following is a GGA-PBE calculation of an optimized crystal structure of RbCa2Ag2, from Alexandria via LeMat-Bulk.

Calculated values
- calculated density (Mg/m³) = 3.62
- calculated formation energy (eV per atom) = -0.0607
- ΔE to the lowest computed polymorph (eV per formula unit) = 0.062
- space group = I4/mmm (139)

abc: 5.202 5.202 7.444
angles: 69.55 69.55 90.00
Element x y z (fractional)
Rb 0.000 0.000 0.000
Ca 0.250 0.750 0.500
Ag 0.611 0.611 0.779
Ca 0.750 0.250 0.500
Ag 0.389 0.389 0.221

***

The following is a GGA-PBE calculation of an optimized crystal structure of Hf12AlSn6, from Alexandria via LeMat-Bulk.

Calculated values
- calculated density (Mg/m³) = 11.46
- calculated formation energy (eV per atom) = -0.1590
- space group = R-3 (148)

abc: 7.475 7.475 7.475
angles: 90.87 90.87 90.87
Element x y z (fractional)
Hf 0.143 0.371 0.052
Hf 0.629 0.948 0.857
Hf 0.857 0.629 0.948
Sn 0.123 0.733 0.275
Hf 0.480 0.563 0.196
Sn 0.267 0.725 0.877
Hf 0.563 0.196 0.480
Sn 0.877 0.267 0.725
Hf 0.437 0.804 0.520
Hf 0.948 0.857 0.629
Hf 0.196 0.480 0.563
Sn 0.725 0.877 0.267
Hf 0.804 0.520 0.437
Al 0.000 0.000 0.000
Hf 0.371 0.052 0.143
Sn 0.275 0.123 0.733
Sn 0.733 0.275 0.123
Hf 0.520 0.437 0.804
Hf 0.052 0.143 0.371

***

The following is a GGA-PBE calculation of an optimized crystal structure of FePBr2, from Alexandria via LeMat-Bulk.

Calculated values
- ΔE_f (raw) (eV/f.u.) = 3.71
- calculated density (Mg/m³) = 5.10
- ΔE to the lowest computed polymorph (eV per formula unit) = 3.902
- space group = F-43m (216)

abc: 4.842 4.842 4.842
angles: 60.00 60.00 60.00
Element x y z (fractional)
Br 0.000 0.000 0.000
P 0.750 0.750 0.750
Fe 0.500 0.500 0.500
Br 0.250 0.250 0.250

***

The following is a GGA-PBE calculation of an optimized crystal structure of Ce2Hg3Pb3, from Alexandria via LeMat-Bulk.

Calculated values
- calculated density (Mg/m³) = 11.41
- calculated formation energy (eV per atom) = -0.3415
- space group = Pmmm (47)

abc: 4.653 4.784 9.832
angles: 90.00 90.00 90.00
Element x y z (fractional)
Ce 0.000 0.000 0.753
Hg 0.000 0.500 0.000
Ce 0.000 0.000 0.247
Hg 0.000 0.500 0.500
Pb 0.500 0.500 0.743
Pb 0.500 0.500 0.257
Pb 0.500 0.000 0.000
Hg 0.500 0.000 0.500

***

The following is a GGA-PBE calculation of an optimized crystal structure of ReSiAu2Br, from Alexandria via LeMat-Bulk.

Calculated values
- ΔE_f (raw) (eV/f.u.) = 4.78
- calculated density (Mg/m³) = 10.60
- space group = P4/mmm (123)

abc: 4.789 4.699 4.789
angles: 90.00 90.00 90.00
Element x y z (fractional)
Br 0.500 0.500 0.500
Au 0.000 0.000 0.500
Si 0.000 0.000 0.000
Re 0.000 0.500 0.000
Au 0.500 0.000 0.000

***

The following is a GGA-PBE calculation of an optimized crystal structure of Nd2BeGePt6, from Alexandria via LeMat-Bulk.

Calculated values
- calculated density (Mg/m³) = 13.63
- calculated formation energy (eV per atom) = -0.8174
- space group = R-3m (166)

abc: 5.816 7.235 7.238
angles: 47.37 66.31 90.00
Element x y z (fractional)
Nd 0.284 0.715 0.431
Pt 0.260 0.740 0.958
Pt 0.781 0.740 0.958
Pt 0.260 0.220 0.479
Be 0.500 0.500 0.000
Pt 0.219 0.260 0.042
Ge 0.000 0.000 0.000
Nd 0.716 0.285 0.569
Pt 0.740 0.260 0.042
Pt 0.740 0.780 0.521

***

The following is a GGA-PBE calculation of an optimized crystal structure of K2RbTaCl6, from Alexandria via LeMat-Bulk.

Calculated values
- ΔE_f (raw) (eV/f.u.) = -15.09
- calculated density (Mg/m³) = 2.71
- space group = Fm-3m (225)

abc: 7.844 7.844 7.844
angles: 60.00 60.00 60.00
Element x y z (fractional)
Rb 0.500 0.500 0.500
Cl 0.223 0.777 0.777
Cl 0.777 0.777 0.223
Ta 0.000 0.000 0.000
K 0.750 0.750 0.750
Cl 0.223 0.777 0.223
Cl 0.777 0.223 0.777
Cl 0.777 0.223 0.223
K 0.250 0.250 0.250
Cl 0.223 0.223 0.777